(1)
! LaYEr2Se4 | Alexandria | PBE | optimized geometry; values from VASP
&SYSTEM
  ibrav = 0, nat = 8, ntyp = 4
/
ATOMIC_SPECIES
La 138.91 La.upf
Y 88.91 Y.upf
Er 167.26 Er.upf
Se 78.96 Se.upf
ATOMIC_POSITIONS crystal
La 0.000 0.000 0.000
Y 0.500 0.500 0.000
Er 0.000 0.500 0.500
Er 0.500 0.000 0.500
Se 0.253 0.000 0.739
Se 0.263 0.500 0.267
Se 0.737 0.500 0.733
Se 0.747 0.000 0.261
CELL_PARAMETERS angstrom
7.098 0.000 0.000
0.000 4.056 0.000
-2.324 0.000 6.877
! Formation energy (no corrections)   -14.27 eV per formula unit
! M_tot   0.0 μB/f.u.

(2)
! Cs3Fe2AgCl9 | Alexandria | PBE | optimized geometry; values from VASP
&SYSTEM
  ibrav = 0, nat = 15, ntyp = 4
/
ATOMIC_SPECIES
Cs 132.91 Cs.upf
Fe 55.84 Fe.upf
Ag 107.87 Ag.upf
Cl 35.45 Cl.upf
ATOMIC_POSITIONS crystal
Cs 0.000 0.000 0.000
Cs 0.333 0.667 0.665
Cs 0.667 0.333 0.335
Fe 0.333 0.667 0.169
Fe 0.667 0.333 0.831
Ag 0.000 0.000 0.500
Cl 0.000 0.500 0.000
Cl 0.176 0.352 0.316
Cl 0.176 0.824 0.316
Cl 0.352 0.176 0.684
Cl 0.500 0.000 0.000
Cl 0.500 0.500 0.000
Cl 0.648 0.824 0.316
Cl 0.824 0.176 0.684
Cl 0.824 0.648 0.684
CELL_PARAMETERS angstrom
7.286 0.000 0.000
-3.643 6.310 0.000
0.000 0.000 8.971
! Formation energy (no corrections)   -18.30 eV per formula unit
! M_tot   9.0 μB/f.u.

(3)
! Ba2PtCl | Alexandria | PBE | optimized geometry; values from VASP
&SYSTEM
  ibrav = 0, nat = 4, ntyp = 3
/
ATOMIC_SPECIES
Ba 137.33 Ba.upf
Pt 195.08 Pt.upf
Cl 35.45 Cl.upf
ATOMIC_POSITIONS crystal
Ba 0.000 0.000 0.000
Ba 0.750 0.250 0.500
Pt 0.500 0.500 0.000
Cl 0.250 0.750 0.500
CELL_PARAMETERS angstrom
-2.222 2.222 6.726
2.222 -2.222 6.726
2.222 2.222 -6.726
! Formation energy (no corrections)   -4.15 eV per formula unit
! M_tot   0.0 μB/f.u.

Number 1: calculated total energy -6.090 eV per atom. Number 2: calculated total energy -3.817 eV per atom. Number 3: calculated total energy -3.972 eV per atom.